# 1
LaHo3In3: relaxed, PBE-GGA.

It has space group P6_3/m (No. 176), with a = 9.4759 Å, b = 9.4759 Å, c = 5.2005 Å, α = 90.00°, β = 90.00° and γ = 120.00°. The distinct sites, in fractional coordinates, are La at (0.3333, 0.6667, 0.2500), Ho at (0.0015, 0.2312, 0.7500) and In at (0.0695, 0.6190, 0.7500).

The raw total energy is -4.206 eV/atom. The calculation puts the total magnetization at 0.000 μB per atom.

***

# 2
La12Ho6In: relaxed, PBE-GGA.

It has space group R-3 (No. 148, hexagonal axes), with a = 15.8109 Å, b = 15.8109 Å, c = 8.9648 Å, α = 90.00°, β = 90.00° and γ = 120.00°. The distinct sites, in fractional coordinates, are La at (0.0361, 0.7522, 0.3408), La at (0.0725, 0.5097, 0.6656), Ho at (0.0179, 0.8819, 0.6650) and In at (0.0000, 0.0000, 0.0000).

The raw total energy is -4.719 eV/atom. The calculation puts the total magnetization at 0.000 μB per atom.

***

Number 1: density of states at the Fermi level 13.1 states/eV/cell, ΔE_f -0.366 eV/atom. Number 2: density of states at the Fermi level 85.0 states/eV/cell, ΔE_f -0.017 eV/atom.